Density functional theory data (PBE) for ZnSn2 after structural relaxation.

Cell lengths 6.174, 6.174, 6.174 Å; angles 60.00, 60.00, 60.00 degrees
Positions (direct):
Zn: 0.125 0.125 0.125
Zn: 0.875 0.875 0.875
Sn: 0.000 0.500 0.500
Sn: 0.500 0.000 0.500
Sn: 0.500 0.500 0.000
Sn: 0.500 0.500 0.500

Calculated values
symmetry	Fd-3m

Density functional theory data (PBE) for ZnSn after structural relaxation.

Cell lengths 3.147, 3.650, 4.175 Å; angles 81.54, 74.96, 74.75 degrees
Positions (direct):
Zn: 0.000 0.000 0.000
Sn: 0.500 0.500 0.500

Calculated values
symmetry	P-1

Density functional theory data (PBE) for Zn6Sn after structural relaxation.

Cell lengths 5.988, 5.988, 5.988 Å; angles 109.47, 109.47, 109.47 degrees
Positions (direct):
Zn: 0.250 0.500 0.750
Zn: 0.250 0.750 0.500
Zn: 0.500 0.250 0.750
Zn: 0.500 0.750 0.250
Zn: 0.750 0.250 0.500
Zn: 0.750 0.500 0.250
Sn: 0.000 0.000 0.000

Calculated values
symmetry	Im-3m
relative energy among the computed polymorphs	2.65	eV per formula unit

Density functional theory data (PBE) for ZnSn4 after structural relaxation.

Cell lengths 5.253, 5.253, 5.253 Å; angles 90.00, 90.00, 90.00 degrees
Positions (direct):
Zn: 0.000 0.000 0.000
Sn: 0.000 0.000 0.500
Sn: 0.000 0.500 0.000
Sn: 0.500 0.000 0.000
Sn: 0.500 0.500 0.500

Calculated values
symmetry	Pm-3m

Calculated formation enthalpy at 0 K in order - 0.378 0.127 0.446 0.323 eV/atom